Computed, not measured: a relaxed PrErTm2 crystal at the GGA-PBE level of DFT.

## Properties
For the energy of formation from the pure elements, the calculation gives 19 meV per atom.

```
data_PrErTm2
_chemical_formula_sum 'Pr2 Er2 Tm4'
_symmetry_space_group_name_H-M 'I m m 2'
_symmetry_Int_Tables_number 44
_symmetry_space_group_name_Hall 'I 2 -2'
_cell_length_a 3.634
_cell_length_b 11.305
_cell_length_c 6.241
_cell_angle_alpha 90.00
_cell_angle_beta 90.00
_cell_angle_gamma 90.00
loop_
_atom_site_label
_atom_site_type_symbol
_atom_site_fract_x
_atom_site_fract_y
_atom_site_fract_z
_atom_site_occupancy
Pr1 Pr 0.000 0.000 0.000 1
Er1 Er 0.000 0.500 0.004 1
Tm1 Tm 0.000 0.247 0.339 1
```

Computed, not measured: a relaxed Pr7Er12Tm crystal at the GGA-PBE level of DFT.

## Properties
For the energy of formation from the pure elements, the calculation gives 227 meV per atom.

```
data_Pr7Er12Tm
_chemical_formula_sum 'Pr21 Er36 Tm3'
_symmetry_space_group_name_H-M 'R -3'
_symmetry_Int_Tables_number 148
_symmetry_space_group_name_Hall '-R 3'
_cell_length_a 11.9602
_cell_length_b 11.9602
_cell_length_c 16.2604
_cell_angle_alpha 90.00
_cell_angle_beta 90.00
_cell_angle_gamma 120.00
loop_
_atom_site_label
_atom_site_type_symbol
_atom_site_fract_x
_atom_site_fract_y
_atom_site_fract_z
_atom_site_occupancy
Pr1 Pr 0.0000 0.0000 0.0000 1
Pr2 Pr 0.0559 0.8696 0.2878 1
Er1 Er 0.0276 0.5779 0.2214 1
Er2 Er 0.0532 0.4676 0.5831 1
Tm1 Tm 0.0000 0.0000 0.5000 1
```

Computed, not measured: a relaxed PrErTm crystal at the GGA-PBE level of DFT.

## Properties
For the energy of formation from the pure elements, the calculation gives 24 meV per atom.

```
data_PrErTm
_chemical_formula_sum 'Pr2 Er2 Tm2'
_symmetry_space_group_name_H-M 'P -1'
_symmetry_Int_Tables_number 2
_symmetry_space_group_name_Hall '-P 1'
_cell_length_a 3.584
_cell_length_b 6.171
_cell_length_c 9.414
_cell_angle_alpha 77.31
_cell_angle_beta 79.08
_cell_angle_gamma 73.15
loop_
_atom_site_label
_atom_site_type_symbol
_atom_site_fract_x
_atom_site_fract_y
_atom_site_fract_z
_atom_site_occupancy
Pr1 Pr 0.001 0.249 0.250 1
Er1 Er 0.331 0.753 0.085 1
Tm1 Tm 0.331 0.254 0.584 1
```

no.,magnetization (μB/f.u.),energy (eV/atom),relative energy among the computed polymorphs (meV per atom)
1,0.00,-4.55,0.0
2,0.00,-4.41,0.0
3,0.00,-4.58,0.0